# CoReAgI2 (PBE, relaxed)
# Spin magnetization   1.61 μB per atom
# DFT total energy   -3.185 eV/atom
data_CoReAgI2
_chemical_formula_sum 'Co1 Re1 Ag1 I2'
_symmetry_space_group_name_H-M 'P 4/m m m'
_symmetry_Int_Tables_number 123
_symmetry_space_group_name_Hall '-P 4 2'
_cell_length_a 5.699
_cell_length_b 5.699
_cell_length_c 4.930
_cell_angle_alpha 90.00
_cell_angle_beta 90.00
_cell_angle_gamma 90.00
loop_
_atom_site_label
_atom_site_type_symbol
_atom_site_fract_x
_atom_site_fract_y
_atom_site_fract_z
Co1 Co 0.000 0.000 0.000
Re1 Re 0.500 0.500 0.000
Ag1 Ag 0.000 0.000 0.500
I1 I 0.000 0.500 0.500